Material: Na2CdSe2
Method: DFT, PBE
State: relaxed

## Properties
E_form (uncorrected) = -0.794 eV/atom
raw total energy = -14.5 eV/cell
calculated density = 2.491 g/cm3

Lattice parameters (Å, degrees): 7.9780 7.9780 7.9780 139.65 139.65 58.38
With the nearest neighbours (Å) after each atom.
Fractional coordinates of all 5 atoms:
Na 0.2500 0.7500 0.5000  4 Se 2.94
Na 0.7500 0.2500 0.5000  4 Se 2.94
Cd 0.0000 0.0000 0.0000  2 Se 2.45
Se 0.1760 0.1760 0.0000  1 Cd 2.45
Se 0.8240 0.8240 0.0000  1 Cd 2.45

Material: Na3Cd2Se4
Method: DFT, PBE
State: relaxed

## Properties
E_form (uncorrected) = -0.762 eV/atom
raw total energy = -26.6 eV/cell
calculated density = 4.399 g/cm3

Lattice parameters (Å, degrees): 4.3972 6.9867 8.4075 68.18 74.84 89.97
With the nearest neighbours (Å) after each atom.
Fractional coordinates of all 9 atoms:
Na 0.0000 0.0000 0.0000  4 Se 2.96
Na 0.1284 0.5301 0.7408  5 Se 3.03-3.22
Na 0.8716 0.4699 0.2592  5 Se 3.03-3.22
Cd 0.3374 0.0134 0.3251  4 Se 2.64-2.80
Cd 0.6626 0.9866 0.6749  4 Se 2.64-2.80
Se 0.2228 0.2273 0.5543  3 Cd 2.71-2.80
Se 0.4966 0.7131 0.0076  1 Cd 2.64
Se 0.5034 0.2869 0.9924  1 Cd 2.64
Se 0.7772 0.7727 0.4457  3 Cd 2.71-2.80

Material: Na2CdSe2
Method: DFT, PBE
State: relaxed

## Properties
E_form (uncorrected) = -0.841 eV/atom
raw total energy = -29.5 eV/cell
calculated density = 3.112 g/cm3

Lattice parameters (Å, degrees): 7.9460 7.9460 10.1785 122.89 122.89 40.07
With the nearest neighbours (Å) after each atom.
Fractional coordinates of all 10 atoms:
Na 0.0527 0.0527 0.2352  4 Se 2.88-3.10
Na 0.3277 0.3277 0.9915  4 Se 2.86-3.07
Na 0.6723 0.6723 0.0085  4 Se 2.86-3.07
Na 0.9473 0.9473 0.7648  4 Se 2.88-3.10
Cd 0.3672 0.3672 0.3557  3 Se 2.55-2.70
Cd 0.6328 0.6328 0.6443  3 Se 2.55-2.70
Se 0.1741 0.1741 0.0951  1 Cd 2.55, 2 Na 2.86
Se 0.4609 0.4609 0.6657  2 Cd 2.61-2.70
Se 0.5391 0.5391 0.3343  2 Cd 2.61-2.70
Se 0.8259 0.8259 0.9049  1 Cd 2.55, 2 Na 2.86

Material: Na3CdSe2
Method: DFT, PBE
State: relaxed

## Properties
E_form (uncorrected) = -0.749 eV/atom
raw total energy = -32.7 eV/cell
calculated density = 3.268 g/cm3

Lattice parameters (Å, degrees): 8.5570 8.5570 8.5570 131.36 71.13 131.50
With the nearest neighbours (Å) after each atom.
Fractional coordinates of all 12 atoms:
Na 0.0174 0.7500 0.2674  4 Se 2.96-2.98
Na 0.2500 0.2500 0.0000  4 Se 3.00
Na 0.4826 0.7500 0.7326  4 Se 2.96-2.98
Na 0.5174 0.2500 0.2674  4 Se 2.96-2.98
Na 0.7500 0.7500 0.0000  4 Se 3.00
Na 0.9826 0.2500 0.7326  4 Se 2.96-2.98
Cd 0.0000 0.5000 0.5000  2 Se 2.76
Cd 0.5000 0.0000 0.5000  2 Se 2.76
Se 0.1362 0.2159 0.3521  1 Cd 2.76, 6 Na 2.96-3.00
Se 0.3638 0.7159 0.0797  1 Cd 2.76, 6 Na 2.96-3.00
Se 0.6362 0.2841 0.9203  1 Cd 2.76, 6 Na 2.96-3.00
Se 0.8638 0.7841 0.6479  1 Cd 2.76, 6 Na 2.96-3.00

Material: Na14Cd2Se9
Method: DFT, PBE
State: relaxed

## Properties
E_form (uncorrected) = -1.010 eV/atom
raw total energy = -76.9 eV/cell
calculated density = 2.976 g/cm3

Lattice parameters (Å, degrees): 8.3415 8.3415 11.6433 90.00 90.00 120.00
With the nearest neighbours (Å) after each atom.
Fractional coordinates of all 25 atoms:
Na 0.0000 0.0000 0.2492  4 Se 2.92-2.93
Na 0.0000 0.0000 0.7508  4 Se 2.92-2.93
Na 0.0224 0.6735 0.4093  4 Se 2.93-3.01
Na 0.0495 0.3715 0.0930  4 Se 2.91-2.97
Na 0.3220 0.9505 0.0930  4 Se 2.91-2.97
Na 0.3265 0.3489 0.4093  4 Se 2.93-3.01
Na 0.3489 0.0224 0.5907  4 Se 2.93-3.01
Na 0.3715 0.3220 0.9070  4 Se 2.91-2.97
Na 0.6285 0.6780 0.0930  4 Se 2.91-2.97
Na 0.6511 0.9776 0.4093  4 Se 2.93-3.01
Na 0.6735 0.6511 0.5907  4 Se 2.93-3.01
Na 0.6780 0.0495 0.9070  4 Se 2.91-2.97
Na 0.9505 0.6285 0.9070  4 Se 2.91-2.97
Na 0.9776 0.3265 0.5907  4 Se 2.93-3.01
Cd 0.3333 0.6667 0.7571  4 Se 2.71-2.72
Cd 0.6667 0.3333 0.2429  4 Se 2.71-2.72
Se 0.0000 0.0000 0.5000  8 Na 2.92-3.01
Se 0.0423 0.3477 0.8387  1 Cd 2.72, 6 Na 2.91-2.97
Se 0.3054 0.9577 0.8387  1 Cd 2.72, 6 Na 2.91-2.97
Se 0.3333 0.6667 0.5241  1 Cd 2.71, 6 Na 2.94-3.01
Se 0.3477 0.3054 0.1613  1 Cd 2.72, 6 Na 2.91-2.97
Se 0.6523 0.6946 0.8387  1 Cd 2.72, 6 Na 2.91-2.97
Se 0.6667 0.3333 0.4759  1 Cd 2.71, 6 Na 2.94-3.01
Se 0.6946 0.0423 0.1613  1 Cd 2.72, 6 Na 2.91-2.97
Se 0.9577 0.6523 0.1613  1 Cd 2.72, 6 Na 2.91-2.97

Material: Na2Cd2Se3
Method: DFT, PBE
State: relaxed

## Properties
E_form (uncorrected) = -0.790 eV/atom
raw total energy = -20.5 eV/cell
calculated density = 4.135 g/cm3

Lattice parameters (Å, degrees): 7.4804 7.4804 7.2589 112.93 112.93 33.32
With the nearest neighbours (Å) after each atom.
Fractional coordinates of all 7 atoms:
Na 0.1031 0.1031 0.3738  5 Se 2.95-3.21
Na 0.8969 0.8969 0.6262  5 Se 2.95-3.21
Cd 0.3193 0.3193 0.1904  4 Se 2.65-2.73
Cd 0.6807 0.6807 0.8096  4 Se 2.65-2.73
Se 0.2966 0.2966 0.7997  3 Cd 2.72-2.73
Se 0.5000 0.5000 0.5000  2 Cd 2.65, 4 Na 2.95
Se 0.7034 0.7034 0.2003  3 Cd 2.72-2.73

Material: Na3CdSe
Method: DFT, PBE
State: relaxed

## Properties
E_form (uncorrected) = -0.465 eV/atom
raw total energy = -10.7 eV/cell
calculated density = 2.508 g/cm3

Lattice parameters (Å, degrees): 5.5654 5.5654 5.5654 90.00 90.00 90.00
With the nearest neighbours (Å) after each atom.
Fractional coordinates of all 5 atoms:
Na 0.0000 0.0000 0.5000  2 Se 2.78
Na 0.0000 0.5000 0.0000  2 Se 2.78
Na 0.5000 0.0000 0.0000  2 Se 2.78
Cd 0.5000 0.5000 0.5000  12 Na 3.94
Se 0.0000 0.0000 0.0000  6 Na 2.78

Material: Na2CdSe
Method: DFT, PBE
State: relaxed

## Properties
E_form (uncorrected) = -0.393 eV/atom
raw total energy = -17.2 eV/cell
calculated density = 2.474 g/cm3

Lattice parameters (Å, degrees): 9.3587 9.3587 9.3587 141.26 141.26 55.95
With the nearest neighbours (Å) after each atom.
Fractional coordinates of all 8 atoms:
Na 0.0189 0.6250 0.8939  2 Se 2.73
Na 0.3750 0.2689 0.3939  2 Se 2.73
Na 0.7311 0.1250 0.1061  2 Se 2.73
Na 0.8750 0.9811 0.6061  2 Se 2.73
Cd 0.2500 0.7500 0.5000  4 Na 3.40
Cd 0.5000 0.5000 0.0000  4 Na 3.40
Se 0.0000 0.0000 0.0000  4 Na 2.73
Se 0.7500 0.2500 0.5000  4 Na 2.73

Material: Na5Cd2Se5
Method: DFT, PBE
State: relaxed

## Properties
E_form (uncorrected) = -0.810 eV/atom
raw total energy = -35.6 eV/cell
calculated density = 3.672 g/cm3

Lattice parameters (Å, degrees): 7.7387 7.7387 7.7387 101.62 101.62 126.66
With the nearest neighbours (Å) after each atom.
Fractional coordinates of all 12 atoms:
Na 0.0000 0.0000 0.0000  5 Se 2.95-2.97
Na 0.2472 0.2472 0.5975  5 Se 2.92-3.16
Na 0.2472 0.6497 0.0000  5 Se 2.92-3.16
Na 0.6497 0.2472 0.0000  5 Se 2.92-3.16
Na 0.6497 0.6497 0.4025  5 Se 2.92-3.16
Cd 0.3676 0.8676 0.5000  4 Se 2.67-2.69
Cd 0.8676 0.3676 0.5000  4 Se 2.67-2.69
Se 0.1195 0.4112 0.2917  2 Cd 2.67-2.69, 1 Na 2.97
Se 0.1195 0.8278 0.7083  2 Cd 2.67-2.69, 1 Na 2.97
Se 0.4112 0.1195 0.2917  2 Cd 2.67-2.69, 1 Na 2.97
Se 0.5756 0.5756 0.0000  5 Na 2.92-2.95
Se 0.8278 0.1195 0.7083  2 Cd 2.67-2.69, 1 Na 2.97

Material: NaCdSe3
Method: DFT, PBE
State: relaxed

## Properties
E_form (uncorrected) = 0.025 eV/atom
raw total energy = -12.6 eV/cell
calculated density = 4.126 g/cm3

Lattice parameters (Å, degrees): 5.3113 5.3113 5.3113 90.00 90.00 90.00
With the nearest neighbours (Å) after each atom.
Fractional coordinates of all 5 atoms:
Na 0.0000 0.0000 0.0000  12 Se 3.76
Cd 0.5000 0.5000 0.5000  6 Se 2.66
Se 0.0000 0.5000 0.5000  2 Cd 2.66
Se 0.5000 0.0000 0.5000  2 Cd 2.66
Se 0.5000 0.5000 0.0000  2 Cd 2.66

Material: Na2CdSe2
Method: DFT, PBE
State: relaxed

## Properties
E_form (uncorrected) = -0.722 eV/atom
raw total energy = -28.3 eV/cell
calculated density = 4.252 g/cm3

Lattice parameters (Å, degrees): 7.6509 7.6509 4.2202 90.00 90.00 90.00
With the nearest neighbours (Å) after each atom.
Fractional coordinates of all 10 atoms:
Na 0.1364 0.3636 0.0000  6 Se 2.92-3.21, 1 Na 2.95
Na 0.3636 0.8636 0.0000  6 Se 2.92-3.21, 1 Na 2.95
Na 0.6364 0.1364 0.0000  6 Se 2.92-3.21, 1 Na 2.95
Na 0.8636 0.6364 0.0000  6 Se 2.92-3.21, 1 Na 2.95
Cd 0.0000 0.0000 0.5000  4 Se 2.82
Cd 0.5000 0.5000 0.5000  4 Se 2.82
Se 0.1765 0.6765 0.5000  2 Cd 2.82, 2 Na 2.92
Se 0.3235 0.1765 0.5000  2 Cd 2.82, 2 Na 2.92
Se 0.6765 0.8235 0.5000  2 Cd 2.82, 2 Na 2.92
Se 0.8235 0.3235 0.5000  2 Cd 2.82, 2 Na 2.92

Material: NaCdSe2
Method: DFT, PBE
State: relaxed

## Properties
E_form (uncorrected) = -0.536 eV/atom
raw total energy = -11.3 eV/cell
calculated density = 4.881 g/cm3

Lattice parameters (Å, degrees): 7.7214 7.7214 7.7214 29.66 29.66 29.66
With the nearest neighbours (Å) after each atom.
Fractional coordinates of all 4 atoms:
Na 0.0000 0.0000 0.0000  6 Se 3.06-3.07
Cd 0.1674 0.1674 0.1674  6 Se 2.81
Se 0.5745 0.5745 0.5745  3 Cd 2.81, 3 Na 3.06
Se 0.7596 0.7596 0.7596  3 Cd 2.81, 3 Na 3.07

Material: NaCd3Se
Method: DFT, PBE
State: relaxed

## Properties
E_form (uncorrected) = 0.193 eV/atom
raw total energy = -6.6 eV/cell
calculated density = 4.202 g/cm3

Lattice parameters (Å, degrees): 5.5779 5.5779 5.5779 90.00 90.00 90.00
With the nearest neighbours (Å) after each atom.
Fractional coordinates of all 5 atoms:
Na 0.0000 0.0000 0.0000  12 Cd 3.94
Cd 0.0000 0.5000 0.5000  2 Se 2.79
Cd 0.5000 0.0000 0.5000  2 Se 2.79
Cd 0.5000 0.5000 0.0000  2 Se 2.79
Se 0.5000 0.5000 0.5000  6 Cd 2.79

Material: Na3CdSe
Method: DFT, PBE
State: relaxed

## Properties
E_form (uncorrected) = 0.057 eV/atom
raw total energy = -8.1 eV/cell
calculated density = 2.517 g/cm3

Lattice parameters (Å, degrees): 5.5588 5.5588 5.5588 90.00 90.00 90.00
With the nearest neighbours (Å) after each atom.
Fractional coordinates of all 5 atoms:
Na 0.0000 0.0000 0.5000  2 Cd 2.78
Na 0.0000 0.5000 0.0000  2 Cd 2.78
Na 0.5000 0.0000 0.0000  2 Cd 2.78
Cd 0.0000 0.0000 0.0000  6 Na 2.78
Se 0.5000 0.5000 0.5000  12 Na 3.93

Material: NaCdSe2
Method: DFT, PBE
State: relaxed

## Properties
E_form (uncorrected) = -0.543 eV/atom
raw total energy = -22.7 eV/cell
calculated density = 4.985 g/cm3

Lattice parameters (Å, degrees): 6.3601 6.3601 6.3601 105.82 105.82 117.05
With the nearest neighbours (Å) after each atom.
Fractional coordinates of all 8 atoms:
Na 0.0000 0.0000 0.0000  4 Se 2.97, 2 Cd 3.32
Na 0.7500 0.2500 0.5000  4 Se 2.97, 2 Cd 3.32
Cd 0.2500 0.7500 0.5000  4 Se 2.71
Cd 0.5000 0.5000 0.0000  4 Se 2.71
Se 0.1496 0.6250 0.0246  2 Cd 2.71, 2 Na 2.97
Se 0.3750 0.3996 0.5246  2 Cd 2.71, 2 Na 2.97
Se 0.6004 0.1250 0.9754  2 Cd 2.71, 2 Na 2.97
Se 0.8750 0.8504 0.4754  2 Cd 2.71, 2 Na 2.97

Material: Na2CdSe
Method: DFT, PBE
State: relaxed

## Properties
E_form (uncorrected) = -0.545 eV/atom
raw total energy = -9.2 eV/cell
calculated density = 3.926 g/cm3

Lattice parameters (Å, degrees): 5.2166 5.2166 5.2166 60.00 60.00 60.00
With the nearest neighbours (Å) after each atom.
Fractional coordinates of all 4 atoms:
Na 0.2500 0.2500 0.2500  4 Cd 3.19, 4 Se 3.19
Na 0.7500 0.7500 0.7500  4 Se 3.19, 4 Cd 3.19
Cd 0.0000 0.0000 0.0000  8 Na 3.19
Se 0.5000 0.5000 0.5000  8 Na 3.19

Material: NaCd2Se2
Method: DFT, PBE
State: relaxed

## Properties
E_form (uncorrected) = -0.468 eV/atom
raw total energy = -24.9 eV/cell
calculated density = 5.487 g/cm3

Lattice parameters (Å, degrees): 7.9173 7.9173 3.9176 90.00 90.00 90.00
With the nearest neighbours (Å) after each atom.
Fractional coordinates of all 10 atoms:
Na 0.0000 0.0000 0.0000  4 Se 2.88
Na 0.5000 0.5000 0.0000  4 Se 2.88
Cd 0.1305 0.3695 0.5000  2 Se 2.82, 1 Cd 2.92
Cd 0.3695 0.8695 0.5000  2 Se 2.82, 1 Cd 2.92
Cd 0.6305 0.1305 0.5000  2 Se 2.82, 1 Cd 2.92
Cd 0.8695 0.6305 0.5000  2 Se 2.82, 1 Cd 2.92
Se 0.1884 0.6884 0.0000  2 Cd 2.82, 2 Na 2.88
Se 0.3116 0.1884 0.0000  2 Cd 2.82, 2 Na 2.88
Se 0.6884 0.8116 0.0000  2 Cd 2.82, 2 Na 2.88
Se 0.8116 0.3116 0.0000  2 Cd 2.82, 2 Na 2.88

Material: NaCd2Se2
Method: DFT, PBE
State: relaxed

## Properties
E_form (uncorrected) = -0.418 eV/atom
raw total energy = -12.2 eV/cell
calculated density = 5.034 g/cm3

Lattice parameters (Å, degrees): 6.0666 6.0666 6.0666 128.25 128.25 76.22
With the nearest neighbours (Å) after each atom.
Fractional coordinates of all 5 atoms:
Na 0.0000 0.0000 0.0000  2 Cd 3.36, 8 Se 3.56
Cd 0.3516 0.3516 0.0000  4 Se 2.82, 1 Cd 2.83
Cd 0.6484 0.6484 0.0000  4 Se 2.82, 1 Cd 2.83
Se 0.2500 0.7500 0.5000  4 Cd 2.82
Se 0.7500 0.2500 0.5000  4 Cd 2.82

Material: Na2Cd2Se3
Method: DFT, PBE
State: relaxed

## Properties
E_form (uncorrected) = -0.828 eV/atom
raw total energy = -82.9 eV/cell
calculated density = 4.370 g/cm3

Lattice parameters (Å, degrees): 10.7643 10.7643 7.6056 110.65 110.65 82.74
With the nearest neighbours (Å) after each atom.
Fractional coordinates of all 28 atoms:
Na 0.0762 0.9238 0.7500  6 Se 3.11-3.14
Na 0.2231 0.7769 0.2500  6 Se 3.11-3.13
Na 0.3157 0.4798 0.3535  4 Se 2.89-3.05
Na 0.4798 0.3157 0.8535  4 Se 2.89-3.05
Na 0.5202 0.6843 0.1465  4 Se 2.89-3.05
Na 0.6843 0.5202 0.6465  4 Se 2.89-3.05
Na 0.7769 0.2231 0.7500  6 Se 3.11-3.13
Na 0.9238 0.0762 0.2500  6 Se 3.11-3.14
Cd 0.0570 0.5844 0.7441  4 Se 2.67-2.78
Cd 0.1309 0.2832 0.7995  4 Se 2.66-2.73
Cd 0.2832 0.1309 0.2995  4 Se 2.66-2.73
Cd 0.4156 0.9430 0.7559  4 Se 2.67-2.78
Cd 0.5844 0.0570 0.2441  4 Se 2.67-2.78
Cd 0.7168 0.8691 0.7005  4 Se 2.66-2.73
Cd 0.8691 0.7168 0.2005  4 Se 2.66-2.73
Cd 0.9430 0.4156 0.2559  4 Se 2.67-2.78
Se 0.0588 0.2060 0.0527  3 Cd 2.69-2.72
Se 0.0963 0.6444 0.4498  3 Cd 2.71-2.78, 1 Na 2.92
Se 0.2060 0.0588 0.5527  3 Cd 2.69-2.72
Se 0.2804 0.5008 0.9670  2 Cd 2.66-2.67, 2 Na 2.89-2.91
Se 0.3556 0.9037 0.0502  3 Cd 2.71-2.78, 1 Na 2.92
Se 0.4992 0.7196 0.5330  2 Cd 2.66-2.67, 2 Na 2.89-2.91
Se 0.5008 0.2804 0.4670  2 Cd 2.66-2.67, 2 Na 2.89-2.91
Se 0.6444 0.0963 0.9498  3 Cd 2.71-2.78, 1 Na 2.92
Se 0.7196 0.4992 0.0330  2 Cd 2.66-2.67, 2 Na 2.89-2.91
Se 0.7940 0.9412 0.4473  3 Cd 2.69-2.72
Se 0.9037 0.3556 0.5502  3 Cd 2.71-2.78, 1 Na 2.92
Se 0.9412 0.7940 0.9473  3 Cd 2.69-2.72

Material: NaCd2Se2
Method: DFT, PBE
State: relaxed

## Properties
E_form (uncorrected) = -0.413 eV/atom
raw total energy = -12.2 eV/cell
calculated density = 5.076 g/cm3

Lattice parameters (Å, degrees): 7.7621 7.7621 7.7621 147.75 147.75 46.26
With the nearest neighbours (Å) after each atom.
Fractional coordinates of all 5 atoms:
Na 0.0000 0.0000 0.0000  8 Se 3.46
Cd 0.2500 0.7500 0.5000  4 Se 2.90, 4 Cd 3.05
Cd 0.7500 0.2500 0.5000  4 Se 2.90, 4 Cd 3.05
Se 0.3860 0.3860 0.0000  4 Cd 2.90
Se 0.6140 0.6140 0.0000  4 Cd 2.90